1.
Here is a relaxed structure of MgRe2Pt from Alexandria via LeMat-Bulk. Energies are from GGA-PBE.

ΔH_f (0 K) in meV/atom: 106.2
Total energy in eV/atom: -8.027

Cell lengths 4.4294, 4.4294, 4.4294 Å; angles 60.00, 60.00, 60.00 degrees
Fractional positions:
Mg  0.5000  0.5000  0.5000
Pt  0.7500  0.7500  0.7500
Re  0.0000  0.0000  0.0000
Re  0.2500  0.2500  0.2500

---

2.
Here is a relaxed structure of Dy2URu4 from Alexandria via LeMat-Bulk. Energies are from GGA-PBE.

ΔH_f (0 K) in meV/atom: -73.9
Total energy in eV/atom: -8.302

Cell lengths 4.4672, 4.4672, 7.5509 Å; angles 107.21, 107.21, 90.00 degrees
Fractional positions:
Dy  0.7389  0.7389  0.4779
Dy  0.2611  0.2611  0.5221
U  0.0000  0.0000  0.0000
Ru  0.3965  0.8965  0.7930
Ru  0.8965  0.3965  0.7930
Ru  0.6035  0.1035  0.2070
Ru  0.1035  0.6035  0.2070

---

3.
Here is a relaxed structure of Ti6Os5W from Alexandria via LeMat-Bulk. Energies are from GGA-PBE.

ΔH_f (0 K) in meV/atom: -587.8
Total energy in eV/atom: -10.294

Cell lengths 4.3926, 6.2031, 7.6014 Å; angles 114.08, 106.79, 90.00 degrees
Fractional positions:
Os  0.6671  0.1671  0.3342
Os  0.3330  0.3330  0.6661
Os  0.0000  0.5000  0.0000
Os  0.6670  0.6670  0.3339
Os  0.3329  0.8329  0.6658
W  0.0000  0.0000  0.0000
Ti  0.8328  0.5824  0.6657
Ti  0.8328  0.0833  0.6657
Ti  0.5000  0.7485  0.0000
Ti  0.5000  0.2515  0.0000
Ti  0.1672  0.9167  0.3343
Ti  0.1672  0.4176  0.3343

---

4.
Here is a relaxed structure of TlCu2SiSe4 from Alexandria via LeMat-Bulk. Energies are from GGA-PBE.

E_form (uncorrected) in eV per atom: -0.29
Total energy in eV/atom: -4.028

Cell lengths 6.6718, 6.6718, 6.6718 Å; angles 124.25, 124.25, 82.78 degrees
Fractional positions:
Tl  0.5000  0.5000  0.0000
Cu  0.7500  0.2500  0.5000
Cu  0.2500  0.7500  0.5000
Si  0.0000  0.0000  0.0000
Se  0.6511  0.6511  0.5901
Se  0.9390  0.3489  0.0000
Se  0.3489  0.9390  0.0000
Se  0.0610  0.0610  0.4099

---

5.
Here is a relaxed structure of Ag2PbAu6 from Alexandria via LeMat-Bulk. Energies are from GGA-PBE.

ΔH_f (0 K) in meV/atom: 10.0
Total energy in eV/atom: -3.221

Cell lengths 5.0567, 8.7092, 8.7092 Å; angles 69.24, 81.50, 81.50 degrees
Fractional positions:
Ag  0.3992  0.5298  0.7787
Ag  0.1008  0.2213  0.4702
Ag  0.6008  0.4702  0.2213
Ag  0.8992  0.7787  0.5298
Pb  0.2500  0.1153  0.8847
Pb  0.7500  0.8847  0.1153
Au  0.4593  0.6782  0.4269
Au  0.0407  0.5731  0.3218
Au  0.5407  0.3218  0.5731
Au  0.9593  0.4269  0.6782
Au  0.6591  0.1131  0.3640
Au  0.8409  0.6360  0.8869
Au  0.3409  0.8869  0.6360
Au  0.1591  0.3640  0.1131
Au  0.2900  0.7295  0.9894
Au  0.2100  0.0106  0.2705
Au  0.7100  0.2705  0.0106
Au  0.7900  0.9894  0.7295

---

6.
Here is a relaxed structure of Hf6Nb2In from Alexandria via LeMat-Bulk. Energies are from GGA-PBE.

ΔH_f (0 K) in meV/atom: 171.2
Total energy in eV/atom: -9.006

Cell lengths 8.1078, 8.1078, 8.1078 Å; angles 100.81, 113.73, 114.21 degrees
Fractional positions:
Hf  0.5055  0.7039  0.8017
Hf  0.4945  0.2961  0.1983
Hf  0.0978  0.2961  0.8017
Hf  0.9022  0.7039  0.1983
Hf  0.7994  0.7525  0.5520
Hf  0.2006  0.2475  0.4480
Hf  0.2006  0.7525  0.9531
Hf  0.7994  0.2475  0.0469
Hf  0.7077  0.3682  0.6605
Hf  0.2923  0.6318  0.3395
Hf  0.2923  0.9527  0.6605
Hf  0.7077  0.0473  0.3395
Nb  0.5000  0.3668  0.8668
Nb  0.5000  0.6332  0.1332
Nb  0.6704  0.0000  0.6704
Nb  0.3296  0.0000  0.3296
In  0.0000  0.5000  0.5000
In  0.0000  0.0000  0.0000